The following is a PBE calculation of crystalline BaSrCa2 at its relaxed geometry, from Alexandria.

## Properties
- E above lowest polymorph: 0 kJ/mol of formula units
- Energy of formation: 8 meV per atom

Unit cell a=9.308 b=13.155 c=6.543 alpha=90.00 beta=90.00 gamma=90.00
Space group C2/c (No. 15)
Unique sites:
Ba (0.000, 0.129, 0.250) [4 per cell]
Sr (0.000, 0.371, 0.750) [4 per cell]
Ca (0.246, 0.379, 0.252) [8 per cell]

***

The following is a PBE calculation of crystalline Ba2Sr2Ca at its relaxed geometry, from Alexandria.

## Properties
- E above lowest polymorph: 0 kJ/mol of formula units
- Energy of formation: 69 meV per atom

Unit cell a=4.062 b=6.919 c=19.545 alpha=90.00 beta=90.00 gamma=90.00
Space group Immm (No. 71)
Unique sites:
Ba (0.000, 0.000, 0.202) [4 per cell]
Sr (0.000, 0.500, 0.097) [4 per cell]
Ca (0.000, 0.500, 0.500) [2 per cell]

***

The following is a PBE calculation of crystalline Ba3Sr5Ca at its relaxed geometry, from Alexandria.

## Properties
- E above lowest polymorph: 82 kJ/mol of formula units
- Energy of formation: 157 meV per atom

Unit cell a=22.369 b=7.432 c=13.871 alpha=90.00 beta=111.93 gamma=90.00
Space group C2/c (No. 15)
Unique sites:
Ba (0.000, 0.000, 0.000) [4 per cell]
Ba (0.159, 0.279, 0.025) [8 per cell]
Sr (0.000, 0.459, 0.250) [4 per cell]
Sr (0.162, 0.261, 0.704) [8 per cell]
Sr (0.171, 0.210, 0.366) [8 per cell]
Ca (0.000, 0.052, 0.750) [4 per cell]

***

The following is a PBE calculation of crystalline Ba2Sr2Ca3 at its relaxed geometry, from Alexandria.

## Properties
- Energy of formation: 29 meV per atom

Unit cell a=11.460 b=6.597 c=10.148 alpha=90.00 beta=111.89 gamma=90.00
Space group C2/m (No. 12)
Unique sites:
Ba (0.140, 0.000, 0.421) [4 per cell]
Sr (0.212, 0.500, 0.135) [4 per cell]
Ca (0.000, 0.000, 0.000) [2 per cell]
Ca (0.070, 0.500, 0.711) [4 per cell]

***

The following is a PBE calculation of crystalline Ba15SrCa4 at its relaxed geometry, from Alexandria.

## Properties
- Energy of formation: 20 meV per atom

Unit cell a=6.868 b=6.868 c=24.526 alpha=90.00 beta=90.00 gamma=90.00
Space group P4/mmm (No. 123)
Unique sites:
Ba (0.000, 0.000, 0.000) [1 per cell]
Ba (0.000, 0.000, 0.202) [2 per cell]
Ba (0.000, 0.000, 0.401) [2 per cell]
Ba (0.000, 0.500, 0.104) [4 per cell]
Ba (0.000, 0.500, 0.302) [4 per cell]
Ba (0.000, 0.500, 0.500) [2 per cell]
Sr (0.500, 0.500, 0.000) [1 per cell]
Ca (0.500, 0.500, 0.202) [2 per cell]
Ca (0.500, 0.500, 0.401) [2 per cell]

***

The following is a PBE calculation of crystalline Ba2Sr3Ca at its relaxed geometry, from Alexandria.

## Properties
- Energy of formation: 51 meV per atom

Unit cell a=10.735 b=11.883 c=10.714 alpha=90.00 beta=100.43 gamma=90.00
Space group C2/c (No. 15)
Unique sites:
Ba (0.125, 0.250, 0.125) [8 per cell]
Sr (0.000, 0.088, 0.750) [4 per cell]
Sr (0.239, 0.419, 0.501) [8 per cell]
Ca (0.000, 0.416, 0.750) [4 per cell]

***

no.,final energy (eV/atom)
1,-1.8939
2,-1.7730
3,-1.6407
4,-1.8584
5,-1.9069
6,-1.7640